[1]
Density functional theory data (PBE-GGA) for a relaxed La2MgPt crystal.

* VASP energy: -4.975 eV per atom
* energy of formation: -0.60 eV/atom
* density of states at the Fermi level: 0.982 states/eV/atom
* space-group type: P4/mmm

abc: 3.788 3.793 8.605
angles: 63.89 90.00 90.00
Element x y z (fractional)
La 0.000 0.033 0.967
La 0.000 0.467 0.533
Mg 0.500 0.250 0.250
Pt 0.500 0.750 0.750

=====

[2]
Density functional theory data (PBE-GGA) for a relaxed La6MgPt crystal.

* VASP energy: -4.740 eV per atom
* energy of formation: -0.09 eV/atom
* density of states at the Fermi level: 1.245 states/eV/atom
* space-group type: R-3

abc: 7.045 7.047 8.065
angles: 64.09 64.09 60.01
Element x y z (fractional)
La 0.025 0.430 0.733
La 0.812 0.025 0.733
La 0.569 0.188 0.267
La 0.188 0.975 0.267
La 0.975 0.570 0.267
La 0.431 0.812 0.733
Mg 0.500 0.500 0.500
Pt 0.000 0.000 0.000

=====

[3]
Density functional theory data (PBE-GGA) for a relaxed LaMg2Pt2 crystal.

* VASP energy: -4.916 eV per atom
* energy of formation: -0.88 eV/atom
* offset from the most stable computed form: 0.0503 eV/atom
* density of states at the Fermi level: 0.419 states/eV/atom
* space-group type: P4/mmm

abc: 4.269 4.269 5.906
angles: 90.00 90.00 90.00
Element x y z (fractional)
La 0.000 0.000 0.000
Mg 0.500 0.000 0.500
Mg 0.000 0.500 0.500
Pt 0.500 0.500 0.774
Pt 0.500 0.500 0.226

=====

[4]
Density functional theory data (PBE-GGA) for a relaxed LaMg2Pt crystal.

* VASP energy: -4.246 eV per atom
* energy of formation: -0.71 eV/atom
* density of states at the Fermi level: 0.697 states/eV/atom
* space-group type: Pnma

abc: 5.689 8.262 16.079
angles: 90.00 90.00 90.00
Element x y z (fractional)
La 0.451 0.250 0.137
La 0.951 0.750 0.363
La 0.549 0.750 0.863
La 0.049 0.250 0.637
La 0.757 0.250 0.396
La 0.257 0.750 0.104
La 0.243 0.750 0.604
La 0.743 0.250 0.896
Mg 0.957 0.056 0.212
Mg 0.457 0.944 0.288
Mg 0.043 0.556 0.788
Mg 0.543 0.444 0.712
Mg 0.043 0.944 0.788
Mg 0.543 0.056 0.712
Mg 0.957 0.444 0.212
Mg 0.457 0.556 0.288
Mg 0.766 0.556 0.041
Mg 0.266 0.444 0.459
Mg 0.234 0.056 0.959
Mg 0.734 0.944 0.541
Mg 0.234 0.444 0.959
Mg 0.734 0.556 0.541
Mg 0.766 0.944 0.041
Mg 0.266 0.056 0.459
Pt 0.251 0.250 0.314
Pt 0.751 0.750 0.186
Pt 0.749 0.750 0.686
Pt 0.249 0.250 0.814
Pt 0.966 0.250 0.069
Pt 0.466 0.750 0.431
Pt 0.034 0.750 0.931
Pt 0.534 0.250 0.569

=====

[5]
Density functional theory data (PBE-GGA) for a relaxed LaMg2Pt crystal.

* VASP energy: -3.780 eV per atom
* energy of formation: -0.24 eV/atom
* density of states at the Fermi level: 0.549 states/eV/atom
* space-group type: R-3m

abc: 10.042 10.042 10.042
angles: 19.00 19.00 19.00
Element x y z (fractional)
La 0.750 0.750 0.750
Mg 0.981 0.981 0.981
Mg 0.519 0.519 0.519
Pt 0.250 0.250 0.250

=====

[6]
Density functional theory data (PBE-GGA) for a relaxed LaMgPt crystal.

* VASP energy: -4.921 eV per atom
* energy of formation: -0.73 eV/atom
* density of states at the Fermi level: 0.868 states/eV/atom
* space-group type: P3m1

abc: 4.583 4.583 4.048
angles: 90.00 90.00 120.00
Element x y z (fractional)
La 0.000 0.000 0.999
Mg 0.667 0.333 0.499
Pt 0.333 0.667 0.501

=====

[7]
Density functional theory data (PBE-GGA) for a relaxed LaMg2Pt crystal.

* VASP energy: -4.098 eV per atom
* energy of formation: -0.56 eV/atom
* density of states at the Fermi level: 0.678 states/eV/atom
* space-group type: Pm

abc: 3.807 4.330 6.591
angles: 70.98 90.00 90.00
Element x y z (fractional)
La 0.500 0.727 0.671
Mg 0.000 0.052 0.022
Mg 0.500 0.443 0.240
Pt 0.000 0.278 0.568

=====

[8]
Density functional theory data (PBE-GGA) for a relaxed La2MgPt crystal.

* VASP energy: -4.915 eV per atom
* energy of formation: -0.54 eV/atom
* density of states at the Fermi level: 1.042 states/eV/atom
* space-group type: C2/m

abc: 4.171 4.171 9.053
angles: 76.80 76.80 59.79
Element x y z (fractional)
La 0.980 0.980 0.057
La 0.520 0.520 0.443
Mg 0.750 0.750 0.750
Pt 0.250 0.250 0.250